Below is GaCl after structural relaxation, with properties calculated at the PBE level.

Structure (POSCAR):
```
GaCl
1.0
8.230 0.000 0.000
0.000 8.230 0.000
0.000 0.000 8.230
Cl Ga
6 6
Direct
0.500 0.250 0.000
0.500 0.750 0.000
0.750 0.000 0.500
0.000 0.500 0.750
0.000 0.500 0.250
0.250 0.000 0.500
0.000 0.750 0.500
0.250 0.500 0.000
0.750 0.500 0.000
0.000 0.250 0.500
0.500 0.000 0.750
0.500 0.000 0.250
```

## Properties
- raw total energy (eV per atom) = -3.0362
- E_form (uncorrected) (meV per atom) = -599
- calculated volume (Å³/cell) = 557.4

---

Below is GaCl5 after structural relaxation, with properties calculated at the PBE level.

Structure (POSCAR):
```
GaCl5
1.0
3.496 0.000 -0.388
0.000 4.853 0.000
0.465 0.000 10.813
Cl Ga
5 1
Direct
0.580 0.500 0.763
0.049 0.000 0.611
0.170 0.000 0.199
0.970 0.000 0.022
0.516 0.500 0.460
0.048 0.500 0.611
```

## Properties
- raw total energy (eV per atom) = -2.6486
- E_form (uncorrected) (meV per atom) = -605
- calculated volume (Å³/cell) = 184.3

---

Below is GaCl after structural relaxation, with properties calculated at the PBE level.

Structure (POSCAR):
```
GaCl
1.0
11.539 0.000 0.000
0.000 11.539 0.000
0.000 0.000 3.793
Cl Ga
8 8
Direct
0.843 0.639 0.000
0.139 0.657 0.500
0.657 0.861 0.500
0.343 0.139 0.500
0.361 0.843 0.000
0.157 0.361 0.000
0.861 0.343 0.500
0.639 0.157 0.000
0.278 0.579 0.000
0.421 0.278 0.000
0.079 0.222 0.500
0.722 0.421 0.000
0.921 0.778 0.500
0.579 0.722 0.000
0.222 0.921 0.500
0.778 0.079 0.500
```

## Properties
- raw total energy (eV per atom) = -3.0934
- E_form (uncorrected) (meV per atom) = -657
- calculated volume (Å³/cell) = 505.0

---

Below is GaCl after structural relaxation, with properties calculated at the PBE level.

Structure (POSCAR):
```
GaCl
1.0
-0.721 -7.572 9.408
8.635 -3.379 -2.059
3.171 5.338 4.539
Ga Cl
16 16
Direct
0.000 0.500 0.734
0.250 0.250 0.984
0.250 0.250 0.516
0.000 0.000 0.766
0.250 0.750 0.484
0.750 0.250 0.484
0.500 0.000 0.266
0.000 0.000 0.234
0.000 0.500 0.266
0.500 0.500 0.766
0.500 0.000 0.734
0.250 0.750 0.016
0.750 0.750 0.516
0.750 0.750 0.984
0.750 0.250 0.016
0.500 0.500 0.234
0.250 0.054 0.250
0.000 0.196 0.500
0.500 0.196 0.000
0.250 0.554 0.750
0.750 0.554 0.250
0.250 0.446 0.250
0.500 0.696 0.500
0.750 0.946 0.250
0.000 0.804 0.500
0.000 0.696 0.000
0.750 0.054 0.750
0.500 0.804 0.000
0.000 0.304 0.000
0.750 0.446 0.750
0.500 0.304 0.500
0.250 0.946 0.750
```

## Properties
- raw total energy (eV per atom) = -3.1196
- E_form (uncorrected) (meV per atom) = -683
- calculated volume (Å³/cell) = 883.8